[1]
The following is a PBE-GGA calculation of a geometry-optimized Cs4ScI5 structure, from the Alexandria database.

Geometry as POSCAR:
```
Cs4ScI5
1.0
-1.225 6.150 -4.809
0.978 -1.713 -8.933
-8.607 1.095 -2.900
Sc I Cs
1 5 4
Direct
0.020 0.000 0.000
0.754 0.168 0.338
0.093 0.662 0.168
0.922 0.338 0.832
0.261 0.832 0.662
0.399 0.000 0.000
0.602 0.616 0.210
0.428 0.384 0.790
0.812 0.790 0.616
0.218 0.210 0.384
```

Output
Calculated volume: 53.805 Å³/atom
Raw formation energy: -1189 meV per atom
DOS at the Fermi energy: 7.74 states/eV/f.u.



[2]
The following is a PBE-GGA calculation of a geometry-optimized Cs3ScI structure, from the Alexandria database.

Geometry as POSCAR:
```
Cs3ScI
1.0
-2.056 -6.717 2.106
2.202 1.470 6.839
-6.686 2.549 1.605
I Sc Cs
1 1 3
Direct
0.500 0.500 0.500
0.000 0.000 0.000
0.500 0.000 0.000
0.000 0.500 0.000
0.000 0.000 0.500
```

Output
Calculated volume: 78.872 Å³/atom
Raw formation energy: 234 meV per atom
DOS at the Fermi energy: 9.46 states/eV/f.u.



[3]
The following is a PBE-GGA calculation of a geometry-optimized Cs3ScI8 structure, from the Alexandria database.

Geometry as POSCAR:
```
Cs3ScI8
1.0
-4.332 -7.347 1.312
3.679 -0.783 7.766
-6.159 8.518 -1.018
Cs I Sc
3 8 1
Direct
0.250 0.750 0.500
0.750 0.250 0.500
0.500 0.500 0.000
0.684 0.105 0.788
0.895 0.316 0.212
0.105 0.105 0.788
0.316 0.895 0.212
0.895 0.895 0.212
0.316 0.316 0.212
0.105 0.684 0.788
0.684 0.684 0.788
0.000 0.000 0.000
```

Output
Calculated volume: 53.481 Å³/atom
Raw formation energy: -965 meV per atom
DOS at the Fermi energy: 15.43 states/eV/f.u.



[4]
The following is a PBE-GGA calculation of a geometry-optimized Cs2ScI6 structure, from the Alexandria database.

Geometry as POSCAR:
```
Cs2ScI6
1.0
-5.508 2.405 5.721
-2.611 -3.449 -7.081
0.632 -12.609 5.909
Cs I Sc
4 12 2
Direct
0.667 0.333 0.377
0.000 0.000 0.127
0.333 0.667 0.877
0.000 0.000 0.627
0.832 0.168 0.870
0.504 0.496 0.629
0.504 0.008 0.629
0.992 0.496 0.629
0.832 0.663 0.870
0.496 0.504 0.129
0.337 0.168 0.870
0.168 0.832 0.370
0.663 0.832 0.370
0.496 0.992 0.129
0.168 0.337 0.370
0.008 0.504 0.129
0.333 0.667 0.250
0.667 0.333 0.750
```

Output
Calculated volume: 46.181 Å³/atom
Raw formation energy: -1203 meV per atom
DOS at the Fermi energy: 15.22 states/eV/f.u.



[5]
The following is a PBE-GGA calculation of a geometry-optimized CsSc4I8 structure, from the Alexandria database.

Geometry as POSCAR:
```
CsSc4I8
1.0
3.951 0.000 0.856
1.659 10.409 1.891
-0.479 0.580 11.762
I Sc Cs
8 4 1
Direct
0.823 0.301 0.052
0.579 0.647 0.194
0.208 0.702 0.882
0.875 0.963 0.286
0.156 0.040 0.647
0.871 0.682 0.577
0.161 0.322 0.357
0.452 0.356 0.740
0.326 0.875 0.473
0.825 0.507 0.843
0.206 0.497 0.091
0.705 0.128 0.461
0.516 0.001 0.967
```

Output
Calculated volume: 37.270 Å³/atom
Raw formation energy: -1035 meV per atom
DOS at the Fermi energy: 5.89 states/eV/f.u.



[6]
The following is a PBE-GGA calculation of a geometry-optimized CsScI6 structure, from the Alexandria database.

Geometry as POSCAR:
```
CsScI6
1.0
-5.807 4.097 1.057
-1.177 -4.434 5.529
4.608 4.305 3.442
Cs I Sc
1 6 1
Direct
0.000 0.000 0.000
0.411 0.781 0.781
0.219 0.219 0.589
0.781 0.411 0.781
0.589 0.219 0.219
0.781 0.781 0.411
0.219 0.589 0.219
0.500 0.500 0.500
```

Output
Calculated volume: 45.518 Å³/atom
Raw formation energy: -863 meV per atom
DOS at the Fermi energy: 11.57 states/eV/f.u.



[7]
The following is a PBE-GGA calculation of a geometry-optimized CsSc2I2 structure, from the Alexandria database.

Geometry as POSCAR:
```
CsSc2I2
1.0
9.677 0.000 0.000
0.000 9.677 0.000
0.000 0.000 3.677
Sc I Cs
4 4 2
Direct
0.896 0.604 0.000
0.604 0.104 0.000
0.396 0.896 0.000
0.104 0.396 0.000
0.159 0.659 0.500
0.659 0.841 0.500
0.341 0.159 0.500
0.841 0.341 0.500
0.500 0.500 0.000
0.000 0.000 0.000
```

Output
Calculated volume: 34.436 Å³/atom
Raw formation energy: -82 meV per atom
DOS at the Fermi energy: 5.00 states/eV/f.u.



[8]
The following is a PBE-GGA calculation of a geometry-optimized CsSc2I8 structure, from the Alexandria database.

Geometry as POSCAR:
```
CsSc2I8
1.0
7.345 0.000 0.000
0.000 7.345 0.000
0.000 0.000 9.547
I Sc Cs
8 2 1
Direct
0.752 0.248 0.188
0.248 0.752 0.188
0.752 0.752 0.188
0.752 0.248 0.812
0.752 0.752 0.812
0.248 0.248 0.812
0.248 0.752 0.812
0.248 0.248 0.188
0.500 0.000 0.000
0.000 0.500 0.000
0.500 0.500 0.500
```

Output
Calculated volume: 46.830 Å³/atom
Raw formation energy: -873 meV per atom
DOS at the Fermi energy: 3.62 states/eV/f.u.



[9]
The following is a PBE-GGA calculation of a geometry-optimized CsSc3I structure, from the Alexandria database.

Geometry as POSCAR:
```
CsSc3I
1.0
5.434 0.000 0.000
0.000 5.434 0.000
0.000 0.000 5.434
Cs Sc I
1 3 1
Direct
0.000 0.000 0.000
0.500 0.000 0.000
0.000 0.500 0.000
0.000 0.000 0.500
0.500 0.500 0.500
```

Output
Calculated volume: 32.087 Å³/atom
Raw formation energy: 1417 meV per atom
DOS at the Fermi energy: 5.15 states/eV/f.u.



[10]
The following is a PBE-GGA calculation of a geometry-optimized Cs3Sc2I8 structure, from the Alexandria database.

Geometry as POSCAR:
```
Cs3Sc2I8
1.0
-5.328 -5.562 3.964
1.446 -2.260 8.236
-7.433 5.659 7.414
Cs I Sc
3 8 2
Direct
0.796 0.796 0.613
0.204 0.204 0.387
0.000 0.000 0.000
0.783 0.263 0.691
0.217 0.737 0.309
0.263 0.783 0.691
0.321 0.321 0.037
0.263 0.263 0.691
0.737 0.737 0.309
0.737 0.217 0.309
0.679 0.679 0.963
0.594 0.594 0.218
0.406 0.406 0.782
```

Output
Calculated volume: 54.123 Å³/atom
Raw formation energy: -1294 meV per atom
DOS at the Fermi energy: 8.70 states/eV/f.u.



[11]
The following is a PBE-GGA calculation of a geometry-optimized Cs2Sc2I7 structure, from the Alexandria database.

Geometry as POSCAR:
```
Cs2Sc2I7
1.0
8.223 -0.141 -0.203
-1.004 9.831 -1.316
-1.004 -4.684 8.743
Sc I Cs
2 7 2
Direct
0.894 0.282 0.282
0.106 0.718 0.718
0.764 0.555 0.555
0.234 0.631 0.928
0.000 0.000 0.000
0.236 0.445 0.445
0.766 0.369 0.072
0.234 0.928 0.631
0.766 0.072 0.369
0.500 0.690 0.310
0.500 0.310 0.690
```

Output
Calculated volume: 59.248 Å³/atom
Raw formation energy: -1245 meV per atom
DOS at the Fermi energy: 0.89 states/eV/f.u.



[12]
The following is a PBE-GGA calculation of a geometry-optimized Cs2ScI5 structure, from the Alexandria database.

Geometry as POSCAR:
```
Cs2ScI5
1.0
8.309 0.260 0.370
-3.865 7.360 -0.370
-3.865 -2.852 6.795
I Sc Cs
5 1 2
Direct
0.451 0.209 0.209
0.000 0.279 0.279
0.000 0.758 0.209
0.549 0.758 0.758
0.000 0.209 0.758
0.000 0.034 0.034
0.500 0.238 0.738
0.500 0.738 0.238
```

Output
Calculated volume: 53.580 Å³/atom
Raw formation energy: -1399 meV per atom
DOS at the Fermi energy: 0.00 states/eV/f.u.